## Tl2PCl5 (PBE)

Data for crystalline Tl2PCl5 at its relaxed geometry.

Values from the calculation:
Total DFT energy (no corrections) ... -3.20 eV per atom
ΔE_f (raw) ... -0.7797 eV per atom

abc: 6.8538 6.8538 6.8538
angles: 114.08 114.08 100.60
With the nearest neighbours (Å) after each atom.
Sites, in units of the cell vectors:
Tl1 0.0000 0.5000 0.5000  10 Cl 3.37-3.73
Tl2 0.5000 0.0000 0.5000  10 Cl 3.37-3.73
P1 0.2520 0.2520 0.0000  1 Cl 2.08
Cl1 0.0149 0.0149 0.0000  1 P 2.08
Cl2 0.0298 0.0298 0.5383  1 P 2.44
Cl3 0.0298 0.4915 0.0000  1 P 2.44
Cl4 0.4915 0.0298 0.0000  1 P 2.44
Cl5 0.4915 0.4915 0.4617  1 P 2.44